Entry 1:
Crystalline Te2AuCl at its relaxed geometry, computed with PBE.

Structure (POSCAR):
```
Te2AuCl
1.0
-5.431 0.079 3.353
-2.233 -5.133 3.067
4.864 4.061 -0.771
Au Cl Te
1 1 2
Direct
0.542 0.542 0.000
0.249 0.749 0.500
0.964 0.964 0.000
0.746 0.246 0.500
```

Summary:
For the total energy, the calculation gives -2.65 eV/atom. The value obtained for the magnetization is 0.00 μB per formula unit. Its space-group type is Imm2 (44). The calculation puts the raw formation energy at 0.2039 eV/atom.

Entry 2:
Crystalline SrScTi3 at its relaxed geometry, computed with PBE.

Structure (POSCAR):
```
SrScTi3
1.0
-3.527 3.284 -1.531
-1.572 0.538 4.776
3.264 3.807 0.645
Sc Sr Ti
1 1 3
Direct
0.000 0.000 0.000
0.500 0.500 0.500
0.000 0.500 0.000
0.000 0.000 0.500
0.500 0.000 0.000
```

Summary:
For the total energy, the calculation gives -5.33 eV/atom. The value obtained for the magnetization is 4.33 μB per formula unit. Its space-group type is Pm-3m (221). As for the excess energy over the best structure of this formula in the dataset: 0.0000 eV/atom.

Entry 3:
Crystalline Pr2Al3Pd12Pt at its relaxed geometry, computed with PBE.

Structure (POSCAR):
```
Pr2Al3Pd12Pt
1.0
6.678 -1.484 -1.052
2.008 6.540 -1.052
2.008 1.169 6.520
Pr Al Pd Pt
2 3 12 1
Direct
0.653 0.653 0.653
0.347 0.347 0.347
0.500 0.000 0.000
0.000 0.500 0.000
0.000 0.000 0.500
0.384 0.384 0.910
0.813 0.813 0.307
0.307 0.813 0.813
0.910 0.384 0.384
0.813 0.307 0.813
0.384 0.910 0.384
0.616 0.616 0.090
0.187 0.187 0.693
0.693 0.187 0.187
0.090 0.616 0.616
0.187 0.693 0.187
0.616 0.090 0.616
0.000 0.000 0.000
```

Summary:
For the total energy, the calculation gives -5.37 eV/atom. The value obtained for the magnetization is 0.00 μB per formula unit. Its space-group type is R-3m (166).

Entry 4:
Crystalline CeThMnCu at its relaxed geometry, computed with PBE.

Structure (POSCAR):
```
CeThMnCu
1.0
4.982 0.000 0.000
2.491 4.314 0.000
2.491 1.438 4.068
Mn Cu Ce Th
1 1 1 1
Direct
0.250 0.250 0.250
0.750 0.750 0.750
0.000 0.000 0.000
0.500 0.500 0.500
```

Summary:
For the total energy, the calculation gives -6.53 eV/atom. The value obtained for the magnetization is 1.17 μB per formula unit. Its space-group type is F-43m (216).

Entry 5:
Crystalline MnS2IN at its relaxed geometry, computed with PBE.

Structure (POSCAR):
```
MnS2IN
1.0
-4.405 -1.877 0.785
1.956 -4.422 0.403
0.410 0.500 3.498
I S Mn N
1 2 1 1
Direct
0.500 0.500 0.500
0.000 0.500 0.000
0.500 0.000 0.000
0.000 0.000 0.000
0.000 0.000 0.500
```

Summary:
For the total energy, the calculation gives -4.99 eV/atom. The value obtained for the magnetization is 1.50 μB per formula unit. Its space-group type is P4/mmm (123). The calculation puts the raw formation energy at 0.4723 eV/atom. As for the excess energy over the best structure of this formula in the dataset: 0.0000 eV/atom.

Entry 6:
Crystalline Co3ReNi at its relaxed geometry, computed with PBE.

Structure (POSCAR):
```
Co3ReNi
1.0
4.396 0.000 0.000
0.000 4.396 0.000
0.000 0.000 4.396
Re Co Ni
1 3 1
Direct
0.000 0.000 0.000
0.000 0.500 0.000
0.000 0.000 0.500
0.500 0.000 0.000
0.500 0.500 0.500
```

Summary:
For the total energy, the calculation gives -6.21 eV/atom. The value obtained for the magnetization is 2.29 μB per formula unit. Its space-group type is Pm-3m (221). As for the excess energy over the best structure of this formula in the dataset: 0.2581 eV/atom.